[1]
Crystalline Ce7Os5 at its relaxed geometry, computed with PBE.

Unit cell a=6.836 b=6.836 c=11.939 alpha=105.21 beta=105.21 gamma=33.42
Atoms (fractional coordinates):
Ce 0.000 0.000 0.000
Ce 0.157 0.157 0.552
Ce 0.236 0.236 0.855
Ce 0.458 0.458 0.715
Ce 0.542 0.542 0.285
Ce 0.764 0.764 0.145
Ce 0.843 0.843 0.448
Os 0.195 0.195 0.305
Os 0.386 0.386 0.077
Os 0.500 0.500 0.500
Os 0.614 0.614 0.923
Os 0.805 0.805 0.695

Values from the calculation:
* formation energy: -10 kJ per mole of atoms

---

[2]
Crystalline KErF5 at its relaxed geometry, computed with PBE.

Unit cell a=8.916 b=8.916 c=6.253 alpha=91.70 beta=91.70 gamma=152.12
Atoms (fractional coordinates):
K 0.169 0.831 0.750
K 0.831 0.169 0.250
Er 0.442 0.558 0.750
Er 0.558 0.442 0.250
F 0.089 0.911 0.250
F 0.266 0.360 0.402
F 0.313 0.678 0.590
F 0.322 0.687 0.910
F 0.360 0.266 0.902
F 0.640 0.734 0.098
F 0.678 0.313 0.090
F 0.687 0.322 0.410
F 0.734 0.640 0.598
F 0.911 0.089 0.750

Values from the calculation:
* energy relative to the elements, uncorrected: -3168 meV per atom

---

[3]
Crystalline Ag2SnPd8 at its relaxed geometry, computed with PBE.

Unit cell a=7.416 b=7.416 c=5.146 alpha=109.49 beta=109.49 gamma=117.98
Atoms (fractional coordinates):
Ag 0.194 0.806 0.000
Ag 0.806 0.194 0.000
Sn 0.500 0.500 0.500
Pd 0.092 0.092 0.325
Pd 0.174 0.397 0.886
Pd 0.285 0.715 0.500
Pd 0.397 0.174 0.886
Pd 0.603 0.826 0.114
Pd 0.715 0.285 0.500
Pd 0.826 0.603 0.114
Pd 0.908 0.908 0.675

Values from the calculation:
* formation energy: 0 kJ per mole of atoms